## LaZn2GaTe (PBE)

Data for an optimized crystal structure of LaZn2GaTe.

```
LaZn2GaTe
1.0
5.1630 0.0000 0.0000
0.0000 5.1630 0.0000
0.0000 0.0000 5.5155
La Zn Ga Te
1 2 1 1
Cartesian
0.0000 0.0000 0.0000
0.0000 2.5815 2.7578
2.5815 0.0000 2.7578
2.5815 2.5815 0.0000
2.5815 2.5815 2.7578
```

Values from the calculation:
The space group is P4/mmm (123). The energy relative to the elements, uncorrected is 318 meV per atom. For the calculated volume, the calculation gives 29.41 Å³ per atom. The value obtained for the raw total energy is -12.1 eV for the cell shown.

## TaGeH (PBE)

Data for an optimized crystal structure of TaGeH.

```
TaGeH
1.0
8.9019 0.0000 0.0000
0.0000 2.9030 0.0000
0.0000 0.0000 6.0007
Ta Ge H
4 4 4
Cartesian
2.1055 0.7257 0.8174
2.3455 2.1772 3.8178
6.5564 0.7257 2.1829
6.7965 2.1772 5.1833
0.1591 0.7257 4.7392
4.2919 2.1772 1.7389
4.6100 0.7257 4.2619
8.7428 2.1772 1.2615
1.6678 0.7257 2.7072
2.7831 2.1772 5.7076
6.1188 0.7257 0.2931
7.2341 2.1772 3.2935
```

Values from the calculation:
The space group is Pnma (62). For the calculated volume, the calculation gives 12.92 Å³ per atom. The value obtained for the raw total energy is -79.4 eV for the cell shown. The distance to the lowest polymorph of the same formula is 220.3 meV/atom.

Q: Number 2 is which compound?
A: TaGeH

Q: Among the records above, which one has the lowest calculated volume?
A: TaGeH